# 1
SbP2W | PBE | relaxed

Geometry as extended XYZ:
```
4
Lattice="4.0811 -1.6313 0.0000 4.0811 1.6313 0.0000 -0.4537 0.0000 5.5503" Properties=species:S:1:pos:R:3 pbc="T T T"
Sb 0.0000 0.0000 0.0000
P 1.4701 0.0000 3.6716
P 6.2384 0.0000 1.8787
W 3.8543 0.0000 2.7752
```

Calculated total energy in eV per atom: -6.717
Space group: C2/m, No. 12
Formation energy from raw total energies in meV/atom: 257
Calculated density in g/cm³: 8.26

=====

# 2
SbP2W | PBE | relaxed

Geometry as extended XYZ:
```
4
Lattice="3.1409 0.0000 0.0000 0.0000 3.1409 0.0000 0.0000 0.0000 7.7576" Properties=species:S:1:pos:R:3 pbc="T T T"
Sb 0.0000 0.0000 0.0000
P 0.0000 0.0000 3.2193
P 1.5704 1.5704 4.5081
W 1.5704 1.5704 2.0247
```

Calculated total energy in eV per atom: -6.822
Space group: P4mm, No. 99
Formation energy from raw total energies in meV/atom: 152
Calculated density in g/cm³: 7.98

=====

# 3
SbPW2 | PBE | relaxed

Geometry as extended XYZ:
```
4
Lattice="3.1652 0.0000 0.0000 0.0000 4.6209 0.0000 -0.2042 0.0000 4.7938" Properties=species:S:1:pos:R:3 pbc="T T T"
Sb 0.0000 0.0000 0.0000
P 1.4285 2.3105 3.3848
W 1.4717 0.0000 2.3656
W 3.0163 2.3105 1.5199
```

Offset from the most stable computed form in kJ per mole of atoms: 16.23
Calculated total energy in eV per atom: -8.570
Space group: Pm, No. 6
Formation energy from raw total energies in meV/atom: 289
Calculated density in g/cm³: 12.33

=====

# 4
SbPW2 | PBE | relaxed

Geometry as extended XYZ:
```
4
Lattice="3.2098 0.0000 0.0000 0.0000 4.2039 0.0000 0.0000 0.0000 5.1014" Properties=species:S:1:pos:R:3 pbc="T T T"
Sb 0.0000 0.0000 0.0000
P 1.6049 0.0000 2.5507
W 0.0000 2.1019 2.5507
W 1.6049 2.1019 0.0000
```

Offset from the most stable computed form in kJ per mole of atoms: 66.07
Calculated total energy in eV per atom: -8.054
Space group: Pmmm, No. 47
Formation energy from raw total energies in meV/atom: 806
Calculated density in g/cm³: 12.55

=====

# 5
SbP4W | PBE | relaxed

Geometry as extended XYZ:
```
6
Lattice="0.0000 3.6412 3.6412 3.6412 0.0000 3.6412 3.6412 3.6412 0.0000" Properties=species:S:1:pos:R:3 pbc="T T T"
Sb 0.0000 0.0000 0.0000
P 4.5434 2.7389 2.7389
P 2.7389 4.5434 2.7389
P 2.7389 2.7389 4.5434
P 4.5434 4.5434 4.5434
W 1.8206 1.8206 1.8206
```

Calculated total energy in eV per atom: -5.477
Space group: F-43m, No. 216
Formation energy from raw total energies in meV/atom: 975
Calculated density in g/cm³: 7.39

=====

# 6
Sb2PW | PBE | relaxed

Geometry as extended XYZ:
```
4
Lattice="4.7280 -1.6961 0.0000 4.7280 1.6961 0.0000 -0.5879 0.0000 5.0607" Properties=species:S:1:pos:R:3 pbc="T T T"
Sb 1.9533 0.0000 1.1864
Sb 6.9147 0.0000 3.8743
P -0.2940 0.0000 2.5304
W 4.7280 0.0000 0.0000
```

Calculated total energy in eV per atom: -5.958
Space group: C2/m, No. 12
Formation energy from raw total energies in meV/atom: 694
Calculated density in g/cm³: 9.38

=====

# 7
SbPW2 | PBE | relaxed

Geometry as extended XYZ:
```
4
Lattice="-1.6725 2.5627 4.0474 1.6725 -2.5627 4.0474 1.6725 2.5627 -4.0474" Properties=species:S:1:pos:R:3 pbc="T T T"
Sb 0.0000 0.0000 0.0000
P 0.0000 0.0000 4.0474
W 1.6725 0.0000 2.4135
W 0.0000 2.5627 1.6339
```

Offset from the most stable computed form in kJ per mole of atoms: 38.48
Calculated total energy in eV per atom: -8.340
Space group: Immm, No. 71
Formation energy from raw total energies in meV/atom: 520
Calculated density in g/cm³: 12.45

=====

# 8
SbP3W | PBE | relaxed

Geometry as extended XYZ:
```
5
Lattice="4.8257 0.0000 0.0000 0.0000 4.8257 0.0000 0.0000 0.0000 4.8257" Properties=species:S:1:pos:R:3 pbc="T T T"
Sb 0.0000 0.0000 0.0000
P 0.0000 0.0000 2.4128
P 0.0000 2.4128 0.0000
P 2.4128 0.0000 0.0000
W 2.4128 2.4128 2.4128
```

Calculated total energy in eV per atom: -4.599
Space group: Pm-3m, No. 221
Formation energy from raw total energies in meV/atom: 2062
Calculated density in g/cm³: 5.89

=====

- calculated total energy of number 1 (SbP2W)?
  -6.717 eV per atom

=====

Please write out number 2 again, unchanged.
SbP2W | PBE | relaxed

Geometry as extended XYZ:
```
4
Lattice="3.1409 0.0000 0.0000 0.0000 3.1409 0.0000 0.0000 0.0000 7.7576" Properties=species:S:1:pos:R:3 pbc="T T T"
Sb 0.0000 0.0000 0.0000
P 0.0000 0.0000 3.2193
P 1.5704 1.5704 4.5081
W 1.5704 1.5704 2.0247
```

Calculated total energy in eV per atom: -6.822
Space group: P4mm, No. 99
Formation energy from raw total energies in meV/atom: 152
Calculated density in g/cm³: 7.98